Material: CoRh2
Method: DFT, GGA-PBEsol
State: optimized geometry

Output
The density of states at the Fermi level comes out at 8.69 states/eV/cell. The total energy comes out at -7.949 eV per atom. The value obtained for the total magnetic moment is 3.7 μB per cell. For the energy of formation from the pure elements, the calculation gives 0.056 eV/atom. As for the calculated volume: 74.9 Å³ per cell.

```
CoRh2
1.0
-0.859 1.380 -2.070
-0.681 -2.237 -1.208
-9.830 0.581 4.468
Co Rh
2 4
direct
0.000 0.000 0.662 Co
0.000 0.000 0.338 Co
0.000 0.000 0.000 Rh
0.500 0.500 0.823 Rh
0.500 0.500 0.500 Rh
0.500 0.500 0.177 Rh
```